Compound: Rb2CrAgO4
Source: the Alexandria database
Functional: PBE with a Hubbard U
Structure: optimized geometry

Structure (POSCAR):
```
Rb2CrAgO4
1.0
-3.195 3.195 3.726
3.195 -3.195 3.726
3.195 3.195 -3.726
Rb Cr Ag O
2 1 1 4
Cartesian
0.000 0.000 0.000
0.000 3.195 1.863
0.000 0.000 3.726
3.195 0.000 1.863
1.168 -0.788 2.707
2.407 2.027 1.019
2.027 3.983 -1.019
0.788 1.168 4.744
```

VASP energy = -5.2912 eV/atom